Model i:
## ZrVFe2 (PBE-GGA)

Data for an optimized crystal structure of ZrVFe2.

a b c (Å): 2.918 2.918 6.486
angles (deg): 90.00 90.00 90.00
Sites, in units of the cell vectors:
Zr1 0.000 0.000 0.000
V1 0.000 0.000 0.500
Fe1 0.500 0.500 0.292
Fe2 0.500 0.500 0.708

Summary:
As for the crystal system: tetragonal. As for the space group: P4/mmm (123).

Model ii:
## ZrVFe2 (PBE-GGA)

Data for an optimized crystal structure of ZrVFe2.

a b c (Å): 9.519 9.519 9.519
angles (deg): 157.49 157.49 32.04
Sites, in units of the cell vectors:
Zr1 0.000 0.000 0.000
Zr2 0.750 0.250 0.500
V1 0.250 0.750 0.500
V2 0.500 0.500 0.000
Fe1 0.156 0.625 0.031
Fe2 0.375 0.406 0.531
Fe3 0.594 0.125 0.969
Fe4 0.875 0.844 0.469

Summary:
As for the crystal system: tetragonal. As for the space group: I-42d (122).

Model iii:
## ZrVFe2 (PBE-GGA)

Data for an optimized crystal structure of ZrVFe2.

a b c (Å): 4.299 4.299 4.299
angles (deg): 60.00 60.00 60.00
Sites, in units of the cell vectors:
Zr1 0.000 0.000 0.000
V1 0.500 0.500 0.500
Fe1 0.250 0.250 0.250
Fe2 0.750 0.750 0.750

Summary:
As for the crystal system: cubic. As for the space group: Fm-3m (225).

Model iv:
## ZrVFe2 (PBE-GGA)

Data for an optimized crystal structure of ZrVFe2.

a b c (Å): 4.296 4.296 3.056
angles (deg): 90.00 90.00 90.00
Sites, in units of the cell vectors:
Zr1 0.000 0.000 0.000
V1 0.500 0.500 0.000
Fe1 0.000 0.500 0.500
Fe2 0.500 0.000 0.500

Summary:
As for the crystal system: tetragonal. As for the space group: P4/mmm (123).

The most stable of them is model i.

Model i:
## ZrV2Fe (PBE-GGA)

Data for an optimized crystal structure of ZrV2Fe.

a b c (Å): 4.333 4.333 4.333
angles (deg): 60.00 60.00 60.00
Sites, in units of the cell vectors:
Zr1 0.000 0.000 0.000
V1 0.250 0.250 0.250
V2 0.750 0.750 0.750
Fe1 0.500 0.500 0.500

Summary:
As for the crystal system: cubic. As for the space group: Fm-3m (225).

Model ii:
## ZrV2Fe (PBE-GGA)

Data for an optimized crystal structure of ZrV2Fe.

a b c (Å): 5.563 5.563 5.563
angles (deg): 102.88 102.88 123.66
Sites, in units of the cell vectors:
Zr1 0.000 0.000 0.000
Zr2 0.750 0.250 0.500
V1 0.181 0.625 0.056
V2 0.375 0.431 0.556
V3 0.569 0.125 0.944
V4 0.875 0.819 0.444
Fe1 0.250 0.750 0.500
Fe2 0.500 0.500 0.000

Summary:
As for the crystal system: tetragonal. As for the space group: I-42d (122).

Model iii:
## ZrV2Fe (PBE-GGA)

Data for an optimized crystal structure of ZrV2Fe.

a b c (Å): 2.954 2.954 6.874
angles (deg): 90.00 90.00 90.00
Sites, in units of the cell vectors:
Zr1 0.000 0.000 0.000
V1 0.500 0.500 0.299
V2 0.500 0.500 0.701
Fe1 0.000 0.000 0.500

Summary:
As for the crystal system: tetragonal. As for the space group: P4/mmm (123).

The most stable of them is model iii.

Model i:
## ZrV3Fe (PBE-GGA)

Data for an optimized crystal structure of ZrV3Fe.

a b c (Å): 4.355 4.355 4.355
angles (deg): 90.00 90.00 90.00
Sites, in units of the cell vectors:
Zr1 0.000 0.000 0.000
V1 0.000 0.500 0.500
V2 0.500 0.000 0.500
V3 0.500 0.500 0.000
Fe1 0.500 0.500 0.500

Summary:
As for the crystal system: cubic. As for the space group: Pm-3m (221).

Model ii:
## ZrV3Fe (PBE-GGA)

Data for an optimized crystal structure of ZrV3Fe.

a b c (Å): 4.567 4.567 4.567
angles (deg): 90.00 90.00 90.00
Sites, in units of the cell vectors:
Zr1 0.000 0.000 0.000
V1 0.000 0.000 0.500
V2 0.000 0.500 0.000
V3 0.500 0.000 0.000
Fe1 0.500 0.500 0.500

Summary:
As for the crystal system: cubic. As for the space group: Pm-3m (221).

The most stable of them is model i.

Model i:
## Zr3VFe (PBE-GGA)

Data for an optimized crystal structure of Zr3VFe.

a b c (Å): 4.809 4.809 4.809
angles (deg): 90.00 90.00 90.00
Sites, in units of the cell vectors:
Zr1 0.000 0.000 0.500
Zr2 0.000 0.500 0.000
Zr3 0.500 0.000 0.000
V1 0.500 0.500 0.500
Fe1 0.000 0.000 0.000

Summary:
As for the crystal system: cubic. As for the space group: Pm-3m (221).

Model ii:
## Zr3VFe (PBE-GGA)

Data for an optimized crystal structure of Zr3VFe.

a b c (Å): 4.838 4.838 4.838
angles (deg): 90.00 90.00 90.00
Sites, in units of the cell vectors:
Zr1 0.000 0.000 0.500
Zr2 0.000 0.500 0.000
Zr3 0.500 0.000 0.000
V1 0.000 0.000 0.000
Fe1 0.500 0.500 0.500

Summary:
As for the crystal system: cubic. As for the space group: Pm-3m (221).

The most stable of them is model i.

Model i:
## Zr2V2Fe (PBE-GGA)

Data for an optimized crystal structure of Zr2V2Fe.

a b c (Å): 6.570 6.570 4.218
angles (deg): 90.00 90.00 90.00
Sites, in units of the cell vectors:
Zr1 0.167 0.333 0.000
Zr2 0.333 0.833 0.000
Zr3 0.667 0.167 0.000
Zr4 0.833 0.667 0.000
V1 0.132 0.632 0.500
V2 0.368 0.132 0.500
V3 0.632 0.868 0.500
V4 0.868 0.368 0.500
Fe1 0.000 0.000 0.000
Fe2 0.500 0.500 0.000

Summary:
As for the crystal system: tetragonal. As for the space group: P4/mbm (127).

Model ii:
## Zr2V2Fe (PBE-GGA)

Data for an optimized crystal structure of Zr2V2Fe.

a b c (Å): 6.128 6.128 4.520
angles (deg): 90.00 90.00 90.00
Sites, in units of the cell vectors:
Zr1 0.168 0.332 0.000
Zr2 0.332 0.832 0.000
Zr3 0.668 0.168 0.000
Zr4 0.832 0.668 0.000
V1 0.149 0.649 0.500
V2 0.351 0.149 0.500
V3 0.649 0.851 0.500
V4 0.851 0.351 0.500
Fe1 0.000 0.000 0.500
Fe2 0.500 0.500 0.500

Summary:
As for the crystal system: tetragonal. As for the space group: P4/mbm (127).

The most stable of them is model ii.

Model i:
## FeW4 (PBE-GGA)

Data for an optimized crystal structure of FeW4.

a b c (Å): 4.422 4.422 4.422
angles (deg): 90.00 90.00 90.00
Sites, in units of the cell vectors:
Fe1 0.000 0.000 0.000
W1 0.000 0.000 0.500
W2 0.000 0.500 0.000
W3 0.500 0.000 0.000
W4 0.500 0.500 0.500

Summary:
As for the crystal system: cubic. As for the space group: Pm-3m (221).

Model ii:
## FeW4 (PBE-GGA)

Data for an optimized crystal structure of FeW4.

a b c (Å): 4.855 4.855 4.855
angles (deg): 109.47 109.47 109.47
Sites, in units of the cell vectors:
Fe1 0.000 0.000 0.000
W1 0.000 0.000 0.500
W2 0.000 0.500 0.000
W3 0.500 0.000 0.000
W4 0.500 0.500 0.500

Summary:
As for the crystal system: cubic. As for the space group: Im-3m (229).

The most stable of them is model ii.